Density functional theory data (PBE) for a relaxed structure of VCrSbTe2.

```
VCrSbTe2
1.0
5.229 0.000 0.000
0.000 5.229 0.000
0.000 0.000 5.151
V Cr Sb Te
1 1 1 2
direct
0.000 0.000 0.000 V
0.500 0.500 0.500 Cr
0.000 0.000 0.500 Sb
0.000 0.500 0.000 Te
0.500 0.000 0.000 Te
```

## Properties
**Volume**: 28.17 A^3/atom


Density functional theory data (PBE) for a relaxed structure of YCrSbTe2.

```
YCrSbTe2
1.0
5.313 0.000 0.000
0.000 5.313 0.000
0.000 0.000 5.078
Y Cr Sb Te
1 1 1 2
direct
0.000 0.000 0.000 Y
0.500 0.500 0.500 Cr
0.500 0.500 0.000 Sb
0.000 0.500 0.500 Te
0.500 0.000 0.500 Te
```

## Properties
**Volume**: 28.67 A^3/atom


Density functional theory data (PBE) for a relaxed structure of YCrSbTe2.

```
YCrSbTe2
1.0
5.806 0.000 0.000
0.000 5.806 0.000
0.000 0.000 5.825
Y Cr Sb Te
1 1 1 2
direct
0.000 0.000 0.000 Y
0.500 0.500 0.500 Cr
0.000 0.000 0.500 Sb
0.000 0.500 0.000 Te
0.500 0.000 0.000 Te
```

## Properties
**Volume**: 39.26 A^3/atom


Density functional theory data (PBE) for a relaxed structure of ZnCrSb2Te.

```
ZnCrSb2Te
1.0
5.044 0.000 0.000
0.000 5.044 0.000
0.000 0.000 5.335
Zn Cr Sb Te
1 1 2 1
direct
0.000 0.000 0.000 Zn
0.500 0.500 0.500 Cr
0.000 0.500 0.500 Sb
0.500 0.000 0.500 Sb
0.500 0.500 0.000 Te
```

## Properties
**Volume**: 27.14 A^3/atom


Density functional theory data (PBE) for a relaxed structure of ZnCrSb2Te.

```
ZnCrSb2Te
1.0
5.848 0.000 0.000
0.000 5.848 0.000
0.000 0.000 4.802
Zn Cr Sb Te
1 1 2 1
direct
0.000 0.000 0.000 Zn
0.500 0.500 0.000 Cr
0.000 0.500 0.500 Sb
0.500 0.000 0.500 Sb
0.500 0.500 0.500 Te
```

## Properties
**Volume**: 32.85 A^3/atom


Density functional theory data (PBE) for a relaxed structure of ZnCrSb2Te.

```
ZnCrSb2Te
1.0
5.059 0.000 0.000
0.000 5.059 0.000
0.000 0.000 5.238
Zn Cr Sb Te
1 1 2 1
direct
0.000 0.000 0.000 Zn
0.500 0.500 0.500 Cr
0.000 0.500 0.000 Sb
0.500 0.000 0.000 Sb
0.000 0.000 0.500 Te
```

## Properties
**Volume**: 26.81 A^3/atom


Density functional theory data (PBE) for a relaxed structure of ZrCrSb2Te.

```
ZrCrSb2Te
1.0
5.542 0.000 0.000
0.000 5.542 0.000
0.000 0.000 5.471
Zr Cr Sb Te
1 1 2 1
direct
0.000 0.000 0.000 Zr
0.500 0.500 0.500 Cr
0.000 0.500 0.000 Sb
0.500 0.000 0.000 Sb
0.000 0.000 0.500 Te
```

## Properties
**Volume**: 33.61 A^3/atom


Density functional theory data (PBE) for a relaxed structure of ZrCrSbTe2.

```
ZrCrSbTe2
1.0
5.196 0.000 0.000
0.000 5.196 0.000
0.000 0.000 5.062
Zr Cr Sb Te
1 1 1 2
direct
0.000 0.000 0.000 Zr
0.500 0.500 0.500 Cr
0.500 0.500 0.000 Sb
0.000 0.500 0.500 Te
0.500 0.000 0.500 Te
```

## Properties
**Volume**: 27.33 A^3/atom


Density functional theory data (PBE) for a relaxed structure of ZrCrSbTe2.

```
ZrCrSbTe2
1.0
5.575 0.000 0.000
0.000 5.575 0.000
0.000 0.000 5.584
Zr Cr Sb Te
1 1 1 2
direct
0.000 0.000 0.000 Zr
0.500 0.500 0.500 Cr
0.000 0.000 0.500 Sb
0.000 0.500 0.000 Te
0.500 0.000 0.000 Te
```

## Properties
**Volume**: 34.72 A^3/atom


Density functional theory data (PBE) for a relaxed structure of ZrCrSb2Te.

```
ZrCrSb2Te
1.0
5.013 0.000 0.000
0.000 5.013 0.000
0.000 0.000 5.320
Zr Cr Sb Te
1 1 2 1
direct
0.000 0.000 0.000 Zr
0.500 0.500 0.500 Cr
0.000 0.500 0.500 Sb
0.500 0.000 0.500 Sb
0.500 0.500 0.000 Te
```

## Properties
**Volume**: 26.73 A^3/atom


Density functional theory data (PBE) for a relaxed structure of TiCr3Sb.

```
TiCr3Sb
1.0
4.554 0.000 0.000
0.000 4.554 0.000
0.000 0.000 4.554
Ti Cr Sb
1 3 1
direct
0.000 0.000 0.000 Ti
0.000 0.000 0.500 Cr
0.000 0.500 0.000 Cr
0.500 0.000 0.000 Cr
0.500 0.500 0.500 Sb
```

## Properties
**Volume**: 18.89 A^3/atom


Density functional theory data (PBE) for a relaxed structure of Ti10CrSb5.

```
Ti10CrSb5
1.0
-5.252 5.252 2.630
5.252 -5.252 2.630
5.252 5.252 -2.630
Ti Cr Sb
10 1 5
direct
0.000 0.500 0.500 Ti
0.049 0.190 0.709 Ti
0.190 0.481 0.141 Ti
0.340 0.049 0.859 Ti
0.481 0.340 0.291 Ti
0.500 0.000 0.500 Ti
0.519 0.810 0.859 Ti
0.660 0.519 0.709 Ti
0.810 0.951 0.291 Ti
0.951 0.660 0.141 Ti
0.500 0.500 0.000 Cr
0.000 0.000 0.000 Sb
0.087 0.913 0.500 Sb
0.413 0.587 0.500 Sb
0.587 0.087 0.173 Sb
0.913 0.413 0.827 Sb
```

## Properties
**Volume**: 18.14 A^3/atom


Density functional theory data (PBE) for a relaxed structure of TiCr3Sb.

```
TiCr3Sb
1.0
4.954 0.000 0.000
0.000 4.954 0.000
0.000 0.000 4.954
Ti Cr Sb
1 3 1
direct
0.000 0.000 0.000 Ti
0.000 0.500 0.500 Cr
0.500 0.000 0.500 Cr
0.500 0.500 0.000 Cr
0.500 0.500 0.500 Sb
```

## Properties
**Volume**: 24.31 A^3/atom


Density functional theory data (PBE) for a relaxed structure of Ti8CrSb2.

```
Ti8CrSb2
1.0
-2.336 3.084 6.651
2.336 -3.084 6.651
2.336 3.084 -6.651
Ti Cr Sb
8 1 2
direct
0.126 0.368 0.758 Ti
0.171 0.171 0.000 Ti
0.250 0.000 0.250 Ti
0.390 0.632 0.758 Ti
0.610 0.368 0.242 Ti
0.750 0.000 0.750 Ti
0.829 0.829 0.000 Ti
0.874 0.632 0.242 Ti
0.000 0.500 0.500 Cr
0.314 0.814 0.500 Sb
0.686 0.186 0.500 Sb
```

## Properties
**Volume**: 17.42 A^3/atom


no.,ΔE_f (raw) (eV/f.u.)
1,2.860
2,-0.397
3,1.966
4,2.332
5,6.511
6,6.335
7,5.470
8,2.069
9,2.009
10,2.454
11,6.134
12,-7.087
13,7.207
14,-2.569